# 1
Computed, not measured: a relaxed Pa4HSe5 crystal at the GGA-PBE level of DFT.

a = 8.682 Å, b = 8.682 Å, c = 8.080 Å
α = 103.34°, β = 103.34°, γ = 25.40°
Positions (direct):
Pa 0.002 0.002 0.270
Pa 0.349 0.349 0.419
Pa 0.651 0.651 0.581
Pa 0.998 0.998 0.730
H 0.500 0.500 0.500
Se 0.168 0.168 0.844
Se 0.175 0.175 0.327
Se 0.500 0.500 0.000
Se 0.825 0.825 0.673
Se 0.832 0.832 0.156

Properties
Density of states at the Fermi level in states/eV per cell: 13.70
Space-group type: C2/m, No. 12

---

# 2
Computed, not measured: a relaxed PaHSe2 crystal at the GGA-PBE level of DFT.

a = 3.894 Å, b = 3.894 Å, c = 7.348 Å
α = 105.47°, β = 105.47°, γ = 60.00°
Positions (direct):
Pa 0.000 0.000 0.000
H 0.667 0.667 0.000
Se 0.248 0.248 0.746
Se 0.419 0.419 0.254

Properties
Energy relative to the lowest polymorph listed for this composition in meV/atom: 0
Space-group type: Cm, No. 8

---

# 3
Computed, not measured: a relaxed Pa3H2Se3 crystal at the GGA-PBE level of DFT.

a = 5.726 Å, b = 5.726 Å, c = 14.170 Å
α = 90.00°, β = 90.00°, γ = 140.10°
Positions (direct):
Pa 0.142 0.858 0.551
Pa 0.142 0.858 0.949
Pa 0.156 0.844 0.250
Pa 0.844 0.156 0.750
Pa 0.858 0.142 0.051
Pa 0.858 0.142 0.449
H 0.261 0.739 0.091
H 0.261 0.739 0.409
H 0.739 0.261 0.591
H 0.739 0.261 0.909
Se 0.136 0.864 0.750
Se 0.429 0.571 0.604
Se 0.429 0.571 0.896
Se 0.571 0.429 0.104
Se 0.571 0.429 0.396
Se 0.864 0.136 0.250

Properties
Density of states at the Fermi level in states/eV per cell: 23.34
Space-group type: Cmcm, No. 63

---

# 4
Computed, not measured: a relaxed Pa3HSe3 crystal at the GGA-PBE level of DFT.

a = 6.971 Å, b = 6.971 Å, c = 6.739 Å
α = 95.18°, β = 95.18°, γ = 110.74°
Positions (direct):
Pa 0.101 0.101 0.360
Pa 0.140 0.463 0.799
Pa 0.463 0.140 0.799
Pa 0.537 0.860 0.201
Pa 0.860 0.537 0.201
Pa 0.899 0.899 0.640
H 0.188 0.188 0.684
H 0.812 0.812 0.316
Se 0.149 0.851 0.000
Se 0.242 0.758 0.500
Se 0.394 0.394 0.165
Se 0.606 0.606 0.835
Se 0.758 0.242 0.500
Se 0.851 0.149 0.000

Properties
Density of states at the Fermi level in states/eV per cell: 21.89
Space-group type: C2/m, No. 12

---

Number 1: final energy -6.813 eV per atom. Number 2: final energy -6.103 eV per atom. Number 3: final energy -6.636 eV per atom. Number 4: final energy -6.909 eV per atom.